A relaxed structure of Ca2MnNi4Ge3. Source: Alexandria via LeMat-Bulk, functional PBE.

The space group is P-4m2 (No. 115) and the conventional cell measures 4.030, 4.030 and 10.129 Å, with angles of 90.00, 90.00 and 90.00 degrees. The inequivalent atoms are Ca at (0.000, 0.500, 0.246), Mn at (0.000, 0.000, 0.500), Ni at (0.000, 0.000, 0.000), Ni at (0.000, 0.500, 0.638), Ni at (0.500, 0.500, 0.000), Ge at (0.000, 0.500, 0.873) and Ge at (0.500, 0.500, 0.500).

As for the formation enthalpy at 0 K: -0.425 eV/atom. The value obtained for the volume is 164.5 Å³ per cell. The calculation puts the size of the total moment at 3.8 μB per cell. As for the crystal system: tetragonal.